DFT (GGA-PBE) results for a geometry-optimized ZrNbPd structure.

Calculated values
**Distance to the lowest polymorph of the same formula**: 132 meV/atom
**Formation enthalpy at 0 K**: -283 meV per atom

Geometry as POSCAR:
```
ZrNbPd
1.0
2.244 -7.033 0.000
2.244 7.033 0.000
0.000 0.000 3.520
Zr Nb Pd
2 2 2
direct
0.083 0.917 0.750
0.917 0.083 0.250
0.249 0.751 0.250
0.751 0.249 0.750
0.412 0.588 0.750
0.588 0.412 0.250
```

---

DFT (GGA-PBE) results for a geometry-optimized TcBrCl structure.

Calculated values
**Distance to the lowest polymorph of the same formula**: 9 meV/atom
**Formation energy without anion corrections**: -0.054 eV/atom

Geometry as POSCAR:
```
TcBrCl
1.0
3.565 0.000 0.000
-1.783 3.087 0.000
0.000 0.000 6.646
Tc Br Cl
1 1 1
direct
0.000 0.000 0.000
0.667 0.333 0.231
0.333 0.667 0.791
```

---

DFT (GGA-PBE) results for a geometry-optimized Er4InHg2Rh structure.

Calculated values
**Formation enthalpy at 0 K**: -575 meV per atom

Geometry as POSCAR:
```
Er4InHg2Rh
1.0
2.574 1.486 8.312
-2.574 1.486 8.312
0.000 -2.973 8.312
Er In Hg Rh
4 1 2 1
direct
0.114 0.114 0.114
0.368 0.368 0.368
0.632 0.632 0.632
0.886 0.886 0.886
0.500 0.500 0.500
0.242 0.242 0.242
0.758 0.758 0.758
0.000 0.000 0.000
```

---

DFT (GGA-PBE) results for a geometry-optimized Ga2SiPt5 structure.

Calculated values
**Formation energy without anion corrections**: -0.586 eV/atom

Geometry as POSCAR:
```
Ga2SiPt5
1.0
5.562 0.000 0.000
0.000 10.995 0.000
0.000 0.000 3.976
Ga Si Pt
4 2 10
direct
0.136 0.154 0.000
0.364 0.654 0.000
0.636 0.346 0.000
0.864 0.846 0.000
0.000 0.500 0.500
0.500 0.000 0.500
0.000 0.000 0.500
0.086 0.716 0.500
0.189 0.406 0.000
0.311 0.906 0.000
0.414 0.216 0.500
0.500 0.500 0.500
0.586 0.784 0.500
0.689 0.094 0.000
0.811 0.594 0.000
0.914 0.284 0.500
```

---

DFT (GGA-PBE) results for a geometry-optimized KU2CdO8 structure.

Calculated values
**Formation energy without anion corrections**: -2.262 eV/atom

Geometry as POSCAR:
```
KU2CdO8
1.0
-2.798 2.798 5.195
2.798 -2.798 5.195
2.798 2.798 -5.195
K U Cd O
1 2 1 8
direct
0.000 0.000 0.000
0.500 0.500 0.000
0.750 0.250 0.500
0.250 0.750 0.500
0.097 0.172 0.529
0.169 0.600 0.020
0.400 0.420 0.570
0.432 0.903 0.075
0.580 0.150 0.980
0.643 0.568 0.471
0.828 0.357 0.925
0.850 0.831 0.430
```

---

DFT (GGA-PBE) results for a geometry-optimized Ca2AlPd5Au2 structure.

Calculated values
**Formation enthalpy at 0 K**: -581 meV per atom

Geometry as POSCAR:
```
Ca2AlPd5Au2
1.0
9.875 0.000 0.000
0.000 9.875 0.000
0.000 0.000 3.898
Ca Al Pd Au
4 2 10 4
direct
0.167 0.333 0.000
0.333 0.833 0.000
0.667 0.167 0.000
0.833 0.667 0.000
0.000 0.000 0.000
0.500 0.500 0.000
0.000 0.500 0.500
0.057 0.813 0.500
0.187 0.057 0.500
0.313 0.557 0.500
0.443 0.313 0.500
0.500 0.000 0.500
0.557 0.687 0.500
0.687 0.443 0.500
0.813 0.943 0.500
0.943 0.187 0.500
0.133 0.633 0.000
0.367 0.133 0.000
0.633 0.867 0.000
0.867 0.367 0.000
```

---

DFT (GGA-PBE) results for a geometry-optimized TmInNi6 structure.

Calculated values
**Formation enthalpy at 0 K**: -15 meV per atom

Geometry as POSCAR:
```
TmInNi6
1.0
4.798 0.000 0.000
0.000 4.798 0.000
0.000 0.000 4.798
Tm In Ni
1 1 6
direct
0.000 0.000 0.000
0.500 0.500 0.500
0.000 0.253 0.500
0.000 0.747 0.500
0.253 0.500 0.000
0.500 0.000 0.253
0.500 0.000 0.747
0.747 0.500 0.000
```

---

DFT (GGA-PBE) results for a geometry-optimized La14SmGa structure.

Calculated values
**Formation enthalpy at 0 K**: -47 meV per atom

Geometry as POSCAR:
```
La14SmGa
1.0
10.314 0.000 0.000
0.000 5.171 5.177
0.000 -5.171 5.177
La Sm Ga
14 1 1
direct
0.000 0.000 0.000
0.000 0.000 0.498
0.000 0.498 0.000
0.000 0.499 0.499
0.259 0.737 0.737
0.261 0.262 0.737
0.261 0.737 0.262
0.262 0.262 0.262
0.500 0.501 0.996
0.500 0.996 0.501
0.738 0.262 0.262
0.739 0.262 0.737
0.739 0.737 0.262
0.741 0.737 0.737
0.500 0.999 0.999
0.500 0.500 0.500
```